Record 1
The following is a DFT calculation (PBE) of Ba3AcNd3Se8 after structural relaxation.

Structure (CIF):
```
data_Ba3AcNd3Se8
_chemical_formula_sum 'Ba9 Ac3 Nd9 Se24'
_cell_length_a 8.7580
_cell_length_b 8.7580
_cell_length_c 22.6624
_cell_angle_alpha 90.00
_cell_angle_beta 90.00
_cell_angle_gamma 120.00
_space_group_name_H-M_alt 'R -3 m'
_space_group_IT_number 166
_space_group_name_Hall '-R 3 2"'
loop_
_atom_site_label
_atom_site_type_symbol
_atom_site_fract_x
_atom_site_fract_y
_atom_site_fract_z
Ba1 Ba 0.0000 0.5000 0.0000
Ac1 Ac 0.0000 0.0000 0.5000
Nd1 Nd 0.0000 0.5000 0.5000
Se1 Se 0.0000 0.0000 0.2409
Se2 Se 0.0102 0.5051 0.7584
```

Properties
**ΔE_f (raw)**: -186.8 kJ per mole of atoms
**Total magnetization**: 0.00 μB/cell

***

Record 2
The following is a DFT calculation (PBE) of TbY3Sc3 after structural relaxation.

Structure (CIF):
```
data_TbY3Sc3
_chemical_formula_sum 'Tb2 Y6 Sc6'
_cell_length_a 9.2664
_cell_length_b 9.2664
_cell_length_c 5.4647
_cell_angle_alpha 90.00
_cell_angle_beta 90.00
_cell_angle_gamma 120.00
_space_group_name_H-M_alt 'P 63/m'
_space_group_IT_number 176
_space_group_name_Hall '-P 6c'
loop_
_atom_site_label
_atom_site_type_symbol
_atom_site_fract_x
_atom_site_fract_y
_atom_site_fract_z
Tb1 Tb 0.3333 0.6667 0.2500
Y1 Y 0.0482 0.8027 0.2500
Sc1 Sc 0.0965 0.6132 0.7500
```

Properties
**Total magnetization**: 2.61 μB/cell
**E_form**: 0.030 eV/atom

***

Record 3
The following is a DFT calculation (PBE) of Ca3Sn2Pt2 after structural relaxation.

Structure (CIF):
```
data_Ca3Sn2Pt2
_chemical_formula_sum 'Ca12 Sn8 Pt8'
_cell_length_a 5.8803
_cell_length_b 8.4658
_cell_length_c 13.9834
_cell_angle_alpha 90.00
_cell_angle_beta 90.00
_cell_angle_gamma 90.00
_space_group_name_H-M_alt 'P b c m'
_space_group_IT_number 57
loop_
_space_group_symop_operation_xyz
'x,y,z'
'-x,-y,-z'
'-x,-y,z+1/2'
'x,y,-z+1/2'
'x,-y+1/2,-z'
'-x,y+1/2,z'
'-x,y+1/2,-z+1/2'
'x,-y+1/2,z+1/2'
loop_
_atom_site_label
_atom_site_type_symbol
_atom_site_fract_x
_atom_site_fract_y
_atom_site_fract_z
Ca1 Ca 0.1306 0.2494 0.2500
Ca2 Ca 0.3461 0.6076 0.0971
Sn1 Sn 0.1620 0.2500 0.0000
Sn2 Sn 0.3690 0.5956 0.7500
Pt1 Pt 0.1225 0.5403 0.5912
```

Properties
**Total magnetization**: 0.00 μB/cell
**E_form**: -0.890 eV/atom

***

Record 4
The following is a DFT calculation (PBE) of Li3Ho2ZnCu12 after structural relaxation.

Structure (CIF):
```
data_Li3Ho2ZnCu12
_chemical_formula_sum 'Li9 Ho6 Zn3 Cu36'
_cell_length_a 5.1969
_cell_length_b 5.1969
_cell_length_c 36.1265
_cell_angle_alpha 90.00
_cell_angle_beta 90.00
_cell_angle_gamma 120.00
_space_group_name_H-M_alt 'R -3 m'
_space_group_IT_number 166
_space_group_name_Hall '-R 3 2"'
loop_
_atom_site_label
_atom_site_type_symbol
_atom_site_fract_x
_atom_site_fract_y
_atom_site_fract_z
Li1 Li 0.0000 0.5000 0.0000
Ho1 Ho 0.0000 0.0000 0.1440
Zn1 Zn 0.0000 0.0000 0.5000
Cu1 Cu 0.9998 0.4999 0.1111
Cu2 Cu 0.0109 0.5055 0.6097
```

Properties
**Total magnetization**: 0.00 μB/cell
**E_form**: 0.069 eV/atom

***

Record 5
The following is a DFT calculation (PBE) of Pm12H5O3 after structural relaxation.

Structure (CIF):
```
data_Pm12H5O3
_chemical_formula_sum 'Pm96 H40 O24'
_cell_length_a 14.7130
_cell_length_b 14.7130
_cell_length_c 14.7130
_cell_angle_alpha 90.00
_cell_angle_beta 90.00
_cell_angle_gamma 90.00
_space_group_name_H-M_alt 'I a -3 d'
_space_group_IT_number 230
_space_group_name_Hall '-I 4bd 2c 3'
loop_
_atom_site_label
_atom_site_type_symbol
_atom_site_fract_x
_atom_site_fract_y
_atom_site_fract_z
Pm1 Pm 0.0339 0.0693 0.6541
H1 H 0.0000 0.0000 0.0000
H2 H 0.0000 0.2500 0.3750
O1 O 0.0000 0.2500 0.1250
```

Properties
**Total magnetization**: 0.00 μB/cell
**Electronic total energy**: -5.06 eV per atom

***

Record 6
The following is a DFT calculation (PBE) of BaLiEr2Se4 after structural relaxation.

Structure (CIF):
```
data_BaLiEr2Se4
_chemical_formula_sum 'Ba4 Li4 Er8 Se16'
_cell_length_a 4.2160
_cell_length_b 13.8190
_cell_length_c 14.2248
_cell_angle_alpha 90.00
_cell_angle_beta 90.00
_cell_angle_gamma 90.00
_space_group_name_H-M_alt 'C m c m'
_space_group_IT_number 63
_space_group_name_Hall '-C 2c 2'
loop_
_atom_site_label
_atom_site_type_symbol
_atom_site_fract_x
_atom_site_fract_y
_atom_site_fract_z
Ba1 Ba 0.0000 0.1174 0.2500
Li1 Li 0.0000 0.1553 0.7500
Er1 Er 0.0000 0.3731 0.0561
Se1 Se 0.0000 0.0000 0.0000
Se2 Se 0.0000 0.2644 0.6118
Se3 Se 0.0000 0.4374 0.2500
```

Properties
**ΔE_f (raw)**: -171.6 kJ per mole of atoms
**Total magnetization**: 0.00 μB/cell

***

Record 7
The following is a DFT calculation (PBE) of TbTm3Tl4S8 after structural relaxation.

Structure (CIF):
```
data_TbTm3Tl4S8
_chemical_formula_sum 'Tb3 Tm9 Tl12 S24'
_cell_length_a 7.9889
_cell_length_b 7.9889
_cell_length_c 22.5786
_cell_angle_alpha 90.00
_cell_angle_beta 90.00
_cell_angle_gamma 120.00
_space_group_name_H-M_alt 'R -3 m'
_space_group_IT_number 166
_space_group_name_Hall '-R 3 2"'
loop_
_atom_site_label
_atom_site_type_symbol
_atom_site_fract_x
_atom_site_fract_y
_atom_site_fract_z
Tb1 Tb 0.0000 0.0000 0.0000
Tm1 Tm 0.0000 0.5000 0.0000
Tl1 Tl 0.0000 0.0000 0.5000
Tl2 Tl 0.0000 0.5000 0.5000
S1 S 0.0000 0.0000 0.2684
S2 S 0.0041 0.5020 0.2679
```

Properties
**ΔE_f (raw)**: -143.6 kJ per mole of atoms
**Total magnetization**: 0.00 μB/cell

***

Record 8
The following is a DFT calculation (PBE) of Pr4Mg2Co after structural relaxation.

Structure (CIF):
```
data_Pr4Mg2Co
_chemical_formula_sum 'Pr8 Mg4 Co2'
_cell_length_a 5.2916
_cell_length_b 5.2916
_cell_length_c 16.5806
_cell_angle_alpha 90.00
_cell_angle_beta 90.00
_cell_angle_gamma 90.00
_space_group_name_H-M_alt 'I 4/m m m'
_space_group_IT_number 139
_space_group_name_Hall '-I 4 2'
loop_
_atom_site_label
_atom_site_type_symbol
_atom_site_fract_x
_atom_site_fract_y
_atom_site_fract_z
Pr1 Pr 0.0000 0.0000 0.1708
Pr2 Pr 0.0000 0.5000 0.0000
Mg1 Mg 0.0000 0.0000 0.3674
Co1 Co 0.0000 0.0000 0.0000
```

Properties
**Total magnetization**: 0.00 μB/cell
**E_form**: 0.118 eV/atom

***

Record 9
The following is a DFT calculation (PBE) of BaGe2Bi after structural relaxation.

Structure (CIF):
```
data_BaGe2Bi
_chemical_formula_sum 'Ba4 Ge8 Bi4'
_cell_length_a 8.5426
_cell_length_b 8.5426
_cell_length_c 7.0107
_cell_angle_alpha 90.00
_cell_angle_beta 90.00
_cell_angle_gamma 90.00
_space_group_name_H-M_alt 'I -4 2 d'
_space_group_IT_number 122
_space_group_name_Hall 'I -4 2bw'
loop_
_atom_site_label
_atom_site_type_symbol
_atom_site_fract_x
_atom_site_fract_y
_atom_site_fract_z
Ba1 Ba 0.0000 0.0000 0.0000
Ge1 Ge 0.2067 0.7500 0.6250
Bi1 Bi 0.0000 0.0000 0.5000
```

Properties
**Total magnetization**: 0.00 μB/cell
**E_form**: -0.088 eV/atom

***

Record 10
The following is a DFT calculation (PBE) of TiFe2Os2 after structural relaxation.

Structure (CIF):
```
data_TiFe2Os2
_chemical_formula_sum 'Ti2 Fe4 Os4'
_cell_length_a 7.1112
_cell_length_b 7.1112
_cell_length_c 2.6516
_cell_angle_alpha 90.00
_cell_angle_beta 90.00
_cell_angle_gamma 90.00
_space_group_name_H-M_alt 'P 4/m b m'
_space_group_IT_number 127
_space_group_name_Hall '-P 4 2ab'
loop_
_atom_site_label
_atom_site_type_symbol
_atom_site_fract_x
_atom_site_fract_y
_atom_site_fract_z
Ti1 Ti 0.0000 0.0000 0.0000
Fe1 Fe 0.1191 0.3809 0.0000
Os1 Os 0.1760 0.6760 0.5000
```

Properties
**Total magnetization**: 0.00 μB/cell
**E_form**: -0.005 eV/atom

***

Record 11
The following is a DFT calculation (PBE) of YTa2Pt2 after structural relaxation.

Structure (CIF):
```
data_YTa2Pt2
_chemical_formula_sum 'Y2 Ta4 Pt4'
_cell_length_a 7.7323
_cell_length_b 7.7323
_cell_length_c 3.2093
_cell_angle_alpha 90.00
_cell_angle_beta 90.00
_cell_angle_gamma 90.00
_space_group_name_H-M_alt 'P 4/m b m'
_space_group_IT_number 127
_space_group_name_Hall '-P 4 2ab'
loop_
_atom_site_label
_atom_site_type_symbol
_atom_site_fract_x
_atom_site_fract_y
_atom_site_fract_z
Y1 Y 0.0000 0.0000 0.0000
Ta1 Ta 0.1699 0.3301 0.5000
Pt1 Pt 0.1258 0.6258 0.0000
```

Properties
**Total magnetization**: 0.00 μB/cell
**E_form**: -0.410 eV/atom

***

Record 12
The following is a DFT calculation (PBE) of MgBe2Ga after structural relaxation.

Structure (CIF):
```
data_MgBe2Ga
_chemical_formula_sum 'Mg4 Be8 Ga4'
_cell_length_a 4.1397
_cell_length_b 4.1397
_cell_length_c 15.5350
_cell_angle_alpha 90.00
_cell_angle_beta 90.00
_cell_angle_gamma 90.00
_space_group_name_H-M_alt 'I 41/a m d'
_space_group_IT_number 141
loop_
_space_group_symop_operation_xyz
'x,y,z'
'-x,-y,-z'
'-y+1/4,x+3/4,z+1/4'
'y+1/4,-x+3/4,-z+1/4'
'-x+1/2,-y,z+1/2'
'x+1/2,y,-z+1/2'
'y+1/4,-x+1/4,z+3/4'
'-y+1/4,x+1/4,-z+3/4'
'x,-y,-z'
'-x,y,z'
'-y+1/4,-x+1/4,-z+3/4'
'y+1/4,x+1/4,z+3/4'
'-x+1/2,y,-z+1/2'
'x+1/2,-y,z+1/2'
'y+1/4,x+3/4,-z+1/4'
'-y+1/4,-x+3/4,z+1/4'
'x+1/2,y+1/2,z+1/2'
'-x+1/2,-y+1/2,-z+1/2'
'-y+3/4,x+1/4,z+3/4'
'y+3/4,-x+1/4,-z+3/4'
'-x,-y+1/2,z'
'x,y+1/2,-z'
'y+3/4,-x+3/4,z+1/4'
'-y+3/4,x+3/4,-z+1/4'
'x+1/2,-y+1/2,-z+1/2'
'-x+1/2,y+1/2,z+1/2'
'-y+3/4,-x+3/4,-z+1/4'
'y+3/4,x+3/4,z+1/4'
'-x,y+1/2,-z'
'x,-y+1/2,z'
'y+3/4,x+1/4,-z+3/4'
'-y+3/4,-x+1/4,z+3/4'
loop_
_atom_site_label
_atom_site_type_symbol
_atom_site_fract_x
_atom_site_fract_y
_atom_site_fract_z
Mg1 Mg 0.0000 0.2500 0.3750
Be1 Be 0.0000 0.0000 0.0000
Ga1 Ga 0.0000 0.2500 0.8750
```

Properties
**Total magnetization**: 0.00 μB/cell
**E_form**: 0.355 eV/atom

***

Record 13
The following is a DFT calculation (PBE) of ScSiRh4 after structural relaxation.

Structure (CIF):
```
data_ScSiRh4
_chemical_formula_sum 'Sc4 Si4 Rh16'
_cell_length_a 7.2582
_cell_length_b 7.2582
_cell_length_c 7.2582
_cell_angle_alpha 90.00
_cell_angle_beta 90.00
_cell_angle_gamma 90.00
_space_group_name_H-M_alt 'F -4 3 m'
_space_group_IT_number 216
_space_group_name_Hall 'F -4 2 3'
loop_
_atom_site_label
_atom_site_type_symbol
_atom_site_fract_x
_atom_site_fract_y
_atom_site_fract_z
Sc1 Sc 0.0000 0.0000 0.0000
Si1 Si 0.2500 0.2500 0.7500
Rh1 Rh 0.1243 0.1243 0.3757
```

Properties
**ΔE_f (raw)**: -24.0 kJ per mole of atoms
**Total magnetization**: 0.00 μB/cell

***

Record 14
The following is a DFT calculation (PBE) of CdReNi2 after structural relaxation.

Structure (CIF):
```
data_CdReNi2
_chemical_formula_sum 'Cd2 Re2 Ni4'
_cell_length_a 4.1950
_cell_length_b 2.6587
_cell_length_c 9.9867
_cell_angle_alpha 90.00
_cell_angle_beta 90.00
_cell_angle_gamma 90.00
_space_group_name_H-M_alt 'A m m 2'
_space_group_IT_number 38
loop_
_space_group_symop_operation_xyz
'x,y,z'
'-x,-y,z'
'-x,y,z'
'x,-y,z'
'x,y+1/2,z+1/2'
'-x,-y+1/2,z+1/2'
'-x,y+1/2,z+1/2'
'x,-y+1/2,z+1/2'
loop_
_atom_site_label
_atom_site_type_symbol
_atom_site_fract_x
_atom_site_fract_y
_atom_site_fract_z
Cd1 Cd 0.0000 0.0000 0.0000
Re1 Re 0.5000 0.0000 0.3237
Ni1 Ni 0.0000 0.0000 0.7418
Ni2 Ni 0.5000 0.0000 0.5999
```

Properties
**Total magnetization**: 0.00 μB/cell
**E_form**: 0.218 eV/atom

***

Record 15
The following is a DFT calculation (PBE) of KLaBr2F after structural relaxation.

Structure (CIF):
```
data_KLaBr2F
_chemical_formula_sum 'K1 La1 Br2 F1'
_cell_length_a 6.0725
_cell_length_b 6.0725
_cell_length_c 4.6553
_cell_angle_alpha 90.00
_cell_angle_beta 90.00
_cell_angle_gamma 90.00
_space_group_name_H-M_alt 'P 4/m m m'
_space_group_IT_number 123
_space_group_name_Hall '-P 4 2'
loop_
_atom_site_label
_atom_site_type_symbol
_atom_site_fract_x
_atom_site_fract_y
_atom_site_fract_z
K1 K 0.0000 0.0000 0.0000
La1 La 0.5000 0.5000 0.5000
Br1 Br 0.0000 0.5000 0.5000
F1 F 0.5000 0.5000 0.0000
```

Properties
**ΔE_f (raw)**: -207.0 kJ per mole of atoms
**Total magnetization**: 0.26 μB/cell

***

Record 16
The following is a DFT calculation (PBE) of AlCr after structural relaxation.

Structure (CIF):
```
data_AlCr
_chemical_formula_sum 'Al8 Cr8'
_cell_length_a 7.2297
_cell_length_b 7.2297
_cell_length_c 4.3175
_cell_angle_alpha 90.00
_cell_angle_beta 90.00
_cell_angle_gamma 90.00
_space_group_name_H-M_alt 'I 4/m m m'
_space_group_IT_number 139
_space_group_name_Hall '-I 4 2'
loop_
_atom_site_label
_atom_site_type_symbol
_atom_site_fract_x
_atom_site_fract_y
_atom_site_fract_z
Al1 Al 0.0000 0.2884 0.0000
Cr1 Cr 0.1572 0.1572 0.5000
```

Properties
**Total magnetization**: 0.00 μB/cell
**E_form**: 0.007 eV/atom

***

Record 17
The following is a DFT calculation (PBE) of TcSb2Au after structural relaxation.

Structure (CIF):
```
data_TcSb2Au
_chemical_formula_sum 'Tc1 Sb2 Au1'
_cell_length_a 3.5211
_cell_length_b 3.5211
_cell_length_c 7.4450
_cell_angle_alpha 90.00
_cell_angle_beta 90.00
_cell_angle_gamma 90.00
_space_group_name_H-M_alt 'P 4 m m'
_space_group_IT_number 99
loop_
_space_group_symop_operation_xyz
'x,y,z'
'-y,x,z'
'-x,-y,z'
'y,-x,z'
'-x,y,z'
'y,x,z'
'x,-y,z'
'-y,-x,z'
loop_
_atom_site_label
_atom_site_type_symbol
_atom_site_fract_x
_atom_site_fract_y
_atom_site_fract_z
Tc1 Tc 0.0000 0.0000 0.0000
Sb1 Sb 0.0000 0.0000 0.3849
Sb2 Sb 0.5000 0.5000 0.8235
Au1 Au 0.5000 0.5000 0.2131
```

Properties
**ΔE_f (raw)**: 24.7 kJ per mole of atoms
**Total magnetization**: 0.00 μB/cell

***

Record 18
The following is a DFT calculation (PBE) of ReRu2Pt after structural relaxation.

Structure (CIF):
```
data_ReRu2Pt
_chemical_formula_sum 'Re4 Ru8 Pt4'
_cell_length_a 6.1940
_cell_length_b 6.1940
_cell_length_c 6.1940
_cell_angle_alpha 90.00
_cell_angle_beta 90.00
_cell_angle_gamma 90.00
_space_group_name_H-M_alt 'F m -3 m'
_space_group_IT_number 225
_space_group_name_Hall '-F 4 2 3'
loop_
_atom_site_label
_atom_site_type_symbol
_atom_site_fract_x
_atom_site_fract_y
_atom_site_fract_z
Re1 Re 0.0000 0.0000 0.0000
Ru1 Ru 0.2500 0.2500 0.2500
Pt1 Pt 0.0000 0.0000 0.5000
```

Properties
**Total magnetization**: 0.00 μB/cell
**E_form**: 0.352 eV/atom